This record from the Alexandria database describes a geometry-optimized CsAs3F structure. The functional is PBE-GGA.

The raw total energy comes out at -15.5 eV per cell.

The structure belongs to space group Pm-3m (No. 221); the cell edges are 4.948, 4.948 and 4.948 Å and the angles 90.00°, 90.00° and 90.00°. The distinct sites, in fractional coordinates, are Cs at (0.000, 0.000, 0.000), As at (0.000, 0.500, 0.500) and F at (0.500, 0.500, 0.500).

---

This record from the Alexandria database describes a geometry-optimized Pu3Pa2Pt5 structure. The functional is PBE-GGA.

The raw total energy comes out at -197.8 eV per cell.

The structure belongs to space group C2/m (No. 12); the cell edges are 11.291, 4.823 and 8.226 Å and the angles 90.00°, 110.40° and 90.00°. The distinct sites, in fractional coordinates, are Pu at (0.000, 0.000, 0.000), Pu at (0.093, 0.500, 0.226), Pa at (0.139, 0.000, 0.690), Pt at (0.000, 0.500, 0.500), Pt at (0.184, 0.500, 0.923) and Pt at (0.226, 0.000, 0.387).

---

This record from the Alexandria database describes a geometry-optimized ZnPtAu structure. The functional is PBE-GGA.

The raw total energy comes out at -45.7 eV per cell. The polymorph energy (0 for the lowest one) is 24 meV per atom.

The structure belongs to space group Cm (No. 8); the cell edges are 14.094, 2.923 and 4.735 Å and the angles 90.00°, 102.04° and 90.00°. The distinct sites, in fractional coordinates, are Zn at (0.000, 0.000, 0.000), Zn at (0.190, 0.000, 0.598), Pt at (0.031, 0.500, 0.508), Pt at (0.346, 0.000, 0.024), Au at (0.166, 0.500, 0.080) and Au at (0.350, 0.500, 0.521).

---

This record from the Alexandria database describes a geometry-optimized CsLiNb2Co structure. The functional is PBE-GGA.

The raw total energy comes out at -17.4 eV per cell.

The structure belongs to space group P4/mmm (No. 123); the cell edges are 5.090, 5.090 and 4.651 Å and the angles 90.00°, 90.00° and 90.00°. The distinct sites, in fractional coordinates, are Cs at (0.000, 0.000, 0.000), Li at (0.500, 0.500, 0.500), Nb at (0.000, 0.500, 0.000) and Co at (0.000, 0.000, 0.500).

---

| no. | density of states at the Fermi level (states/eV/cell) | total magnetization (μB/atom) |
| --- | --- | --- |
| 1 | 3.303 | 0.0000 |
| 2 | 44.004 | 1.7278 |
| 3 | 2.539 | 0.0000 |
| 4 | 4.964 | 0.2080 |